No. 1
Computed, not measured: Zr3TlH after structural relaxation at the GGA-PBE level of DFT.

a = 6.0404 Å, b = 6.0404 Å, c = 6.9660 Å
α = 64.31°, β = 64.31°, γ = 90.00°
Atoms (fractional coordinates):
1 Zr 0.1317 0.8772 0.7366
2 Zr 0.1317 0.3862 0.7366
3 Zr 0.3705 0.3705 0.2589
4 H 0.2500 0.7500 0.5000
5 H 0.0000 0.0000 0.0000
6 Tl 0.6121 0.1121 0.7759
7 Zr 0.1228 0.8683 0.2634
8 Zr 0.6295 0.6295 0.7411
9 Zr 0.6138 0.8683 0.2634
10 Tl 0.8879 0.3879 0.2241

Summary:
**Spin magnetization**: 0.0 μB per cell
**V**: 20.078 Å³ per atom
**DOS(E_F)**: 1.280 states/eV/atom
**Electronic total energy**: -6.23 eV/atom

---

No. 2
Computed, not measured: Na2GeBiSe4 after structural relaxation at the GGA-PBE level of DFT.

a = 7.1118 Å, b = 7.6507 Å, c = 9.6389 Å
α = 90.00°, β = 90.00°, γ = 90.00°
Atoms (fractional coordinates):
1 Bi 0.9903 0.1773 0.5000
2 Se 0.3456 0.1544 0.0000
3 Ge 0.4946 0.8333 0.5000
4 Se 0.3938 0.1414 0.5000
5 Na 0.4892 0.3227 0.7516
6 Se 0.8938 0.8586 0.0000
7 Na 0.4892 0.3227 0.2484
8 Se 0.8986 0.3035 0.7757
9 Se 0.3986 0.6965 0.7243
10 Na 0.9892 0.6773 0.2516
11 Se 0.8986 0.3035 0.2243
12 Se 0.8456 0.8456 0.5000
13 Ge 0.9946 0.1667 0.0000
14 Bi 0.4903 0.8227 0.0000
15 Se 0.3986 0.6965 0.2757
16 Na 0.9892 0.6773 0.7484

Summary:
**E_form (uncorrected)**: -562 meV/atom
**Spin magnetization**: 0.0 μB per cell
**V**: 32.778 Å³ per atom
**DOS(E_F)**: 0.460 states/eV/atom
**Electronic total energy**: -3.70 eV/atom

---

No. 3
Computed, not measured: SrTc2As after structural relaxation at the GGA-PBE level of DFT.

a = 4.7200 Å, b = 4.0098 Å, c = 4.0098 Å
α = 90.00°, β = 90.00°, γ = 90.00°
Atoms (fractional coordinates):
1 As 0.5000 0.5000 0.0000
2 Sr 0.5000 0.0000 0.5000
3 Tc 0.0000 0.0000 0.0000
4 Tc 0.0000 0.5000 0.5000

Summary:
**Spin magnetization**: 0.0 μB per cell
**V**: 18.972 Å³ per atom
**ΔH_f (0 K)**: 66 kJ/mol of atoms
**DOS(E_F)**: 1.117 states/eV/atom
**Electronic total energy**: -6.08 eV/atom

---

No. 4
Computed, not measured: YBeBr3 after structural relaxation at the GGA-PBE level of DFT.

a = 5.6109 Å, b = 5.6109 Å, c = 5.6109 Å
α = 90.00°, β = 90.00°, γ = 90.00°
Atoms (fractional coordinates):
1 Be 0.5000 0.5000 0.5000
2 Br 0.0000 0.0000 0.5000
3 Br 0.5000 0.0000 0.0000
4 Y 0.0000 0.0000 0.0000
5 Br 0.0000 0.5000 0.0000

Summary:
**E_form (uncorrected)**: -683 meV/atom
**Spin magnetization**: 0.0 μB per cell
**V**: 35.329 Å³ per atom
**Electronic total energy**: -3.73 eV/atom
**Energy above the lowest structure with this stoichiometry**: 0.0000 eV/atom

---

Question: What is the formula in the fourth record?
Answer: YBeBr3

---

Question: V of number 1 (Zr3TlH)?
Answer: 20.078 Å³ per atom